Below is a relaxed SrZrS3 crystal, with properties calculated at the PBEsol level.

Cell: 5.1565 5.1565 5.1565 Å, 90.00 90.00 90.00°
With the nearest neighbours (Å) after each atom.
Space group Pm-3m (No. 221)
Unique sites:
1 Sr 0.0000 0.0000 0.0000 x1  6 S 2.58
2 Zr 0.5000 0.5000 0.5000 x1  12 S 3.65
3 S 0.0000 0.0000 0.5000 x3  2 Sr 2.58

N(E_F)   1.32 states/eV per atom
Distance to the lowest polymorph of the same formula   10.555 eV/f.u.
E_form (uncorrected)   0.2692 eV/atom